Model A:
ZrNiBr2: relaxed, GGA-PBE.

The structure belongs to space group R-3m (No. 166, hexagonal axes); the cell edges are 3.5146, 3.5146 and 25.1245 Å and the angles 90.00°, 90.00° and 120.00°. The asymmetric unit holds Zr at (0.0000, 0.0000, 0.0000), Ni at (0.0000, 0.0000, 0.5000) and Br at (0.0000, 0.0000, 0.1061).

Model B:
ZrNiBr2: relaxed, GGA-PBE.

The structure belongs to space group Pm (No. 6); the cell edges are 3.5240, 3.4085 and 8.7046 Å and the angles 90.00°, 99.52° and 90.00°. The asymmetric unit holds Zr at (0.0000, 0.0000, 0.0000), Ni at (0.4492, 0.5000, 0.8585), Br at (0.1010, 0.5000, 0.2463) and Br at (0.8206, 0.0000, 0.6893).

Most stable structure among those shown: model B.